This record from the Alexandria database describes an optimized crystal structure of PuB4C2. The functional is PBE.

## Properties
Energy relative to the elements   0.974 eV/atom
VASP energy   -7.524 eV/atom

a = 6.774 Å, b = 6.774 Å, c = 2.597 Å
α = 90.00°, β = 90.00°, γ = 90.00°
Space group P4_2/mnm (No. 136)
One atom of each set of equivalent atoms:
1 Pu 0.000 0.000 0.000 [2 per cell]
2 B 0.139 0.338 0.500 [8 per cell]
3 C 0.233 0.767 0.500 [4 per cell]

***

This record from the Alexandria database describes an optimized crystal structure of Pu2B3C. The functional is PBE.

## Properties
Energy relative to the elements   -0.300 eV/atom
VASP energy   -9.954 eV/atom

a = 6.065 Å, b = 8.275 Å, c = 10.520 Å
α = 90.00°, β = 90.00°, γ = 90.00°
Space group Fmmm (No. 69)
One atom of each set of equivalent atoms:
1 Pu 0.000 0.245 0.000 [8 per cell]
2 Pu 0.250 0.250 0.250 [8 per cell]
3 B 0.000 0.000 0.174 [8 per cell]
4 B 0.239 0.000 0.413 [16 per cell]
5 C 0.000 0.000 0.333 [8 per cell]

***

This record from the Alexandria database describes an optimized crystal structure of Pu2B2C3. The functional is PBE.

## Properties
Energy relative to the elements   -0.147 eV/atom
VASP energy   -10.103 eV/atom

a = 10.288 Å, b = 2.984 Å, c = 5.070 Å
α = 90.00°, β = 90.36°, γ = 90.00°
Space group C2/m (No. 12)
One atom of each set of equivalent atoms:
1 Pu 0.134 0.000 0.254 [4 per cell]
2 B 0.109 0.500 0.791 [4 per cell]
3 C 0.000 0.500 0.000 [2 per cell]
4 C 0.172 0.000 0.734 [4 per cell]

***

This record from the Alexandria database describes an optimized crystal structure of Pu2BC2. The functional is PBE.

## Properties
Energy relative to the elements   -0.081 eV/atom
VASP energy   -10.838 eV/atom

a = 3.032 Å, b = 14.082 Å, c = 6.194 Å
α = 90.00°, β = 90.00°, γ = 90.00°
Space group Cmc2_1 (No. 36)
One atom of each set of equivalent atoms:
1 Pu 0.000 0.035 0.000 [4 per cell]
2 Pu 0.000 0.219 0.682 [4 per cell]
3 B 0.000 0.381 0.914 [4 per cell]
4 C 0.000 0.144 0.317 [4 per cell]
5 C 0.000 0.419 0.165 [4 per cell]

***

This record from the Alexandria database describes an optimized crystal structure of PuBC2. The functional is PBE.

## Properties
Energy relative to the elements   1.087 eV/atom
VASP energy   -8.778 eV/atom

a = 6.719 Å, b = 2.357 Å, c = 5.193 Å
α = 90.00°, β = 90.00°, γ = 90.00°
Space group Pmma (No. 51)
One atom of each set of equivalent atoms:
1 Pu 0.250 0.000 0.123 [2 per cell]
2 B 0.250 0.500 0.615 [2 per cell]
3 C 0.053 0.500 0.765 [4 per cell]

***

This record from the Alexandria database describes an optimized crystal structure of Pu2B3C4. The functional is PBE.

## Properties
Energy relative to the elements   0.567 eV/atom
VASP energy   -8.943 eV/atom

a = 4.589 Å, b = 10.541 Å, c = 6.987 Å
α = 90.00°, β = 90.00°, γ = 90.00°
Space group Cmce (No. 64)
One atom of each set of equivalent atoms:
1 Pu 0.000 0.104 0.059 [8 per cell]
2 B 0.000 0.000 0.500 [4 per cell]
3 B 0.250 0.208 0.750 [8 per cell]
4 C 0.000 0.211 0.353 [8 per cell]
5 C 0.250 0.057 0.750 [8 per cell]